## 1
Entry from the Alexandria database: an optimized crystal structure of Ru3PbW (PBE).

Cell: 4.7334 4.7334 4.7334 Å, 90.00 90.00 90.00°
Fractional coordinates of all 5 atoms:
Ru 0.5000 0.0000 0.0000
Ru 0.0000 0.5000 0.0000
Ru 0.0000 0.0000 0.5000
Pb 0.5000 0.5000 0.5000
W 0.0000 0.0000 0.0000

Results
The value obtained for the density of states at the Fermi level is 1.3312 states/eV per atom.

## 2
Entry from the Alexandria database: an optimized crystal structure of Ru3PbW (PBE).

Cell: 4.7857 4.7857 4.7857 Å, 90.00 90.00 90.00°
Fractional coordinates of all 5 atoms:
Pb 0.0000 0.0000 0.0000
Ru 0.0000 0.5000 0.0000
Ru 0.0000 0.0000 0.5000
Ru 0.5000 0.0000 0.0000
W 0.5000 0.5000 0.5000

Results
The value obtained for the density of states at the Fermi level is 2.7832 states/eV per atom.

Most stable: 1. Least stable: 2.

## 1
Entry from the Alexandria database: an optimized crystal structure of RuPb2W (PBE).

Cell: 4.7889 4.7889 5.7081 Å, 78.59 78.59 38.24°
Fractional coordinates of all 4 atoms:
W 0.2500 0.2500 0.2500
Pb 0.0047 0.0047 0.9939
Pb 0.4953 0.4953 0.5061
Ru 0.7500 0.7500 0.7500

Results
The value obtained for the density of states at the Fermi level is 1.1219 states/eV per atom.

## 2
Entry from the Alexandria database: an optimized crystal structure of RuPb2W (PBE).

Cell: 3.1277 3.1270 9.9624 Å, 71.62 90.00 90.00°
Fractional coordinates of all 4 atoms:
Ru 0.0000 0.4503 0.5503
Pb 0.5000 0.1834 0.3184
Pb 0.0000 0.0593 0.9385
W 0.5000 0.8071 0.6928

Results
The value obtained for the density of states at the Fermi level is 0.2519 states/eV per atom.

Most stable: 2. Least stable: 1.

## 1
Entry from the Alexandria database: an optimized crystal structure of Y3RuPb (PBE).

Cell: 7.1345 8.5088 4.8192 Å, 90.00 90.00 67.60°
Fractional coordinates of all 10 atoms:
Y 0.8148 0.6280 0.9846
Y 0.7724 0.2893 0.4846
Y 0.0564 0.9663 0.9846
Y 0.4601 0.0941 0.9846
Y 0.4177 0.7553 0.4846
Y 0.1761 0.4171 0.4846
Pb 0.8048 0.8852 0.4846
Pb 0.4278 0.4981 0.9846
Ru 0.0213 0.2991 0.9845
Ru 0.2112 0.0843 0.4845

Results
The value obtained for the density of states at the Fermi level is 0.8593 states/eV per atom.

## 2
Entry from the Alexandria database: an optimized crystal structure of Y3RuPb (PBE).

Cell: 4.7240 9.7788 6.2972 Å, 94.95 67.96 89.99°
Fractional coordinates of all 10 atoms:
Ru 0.2226 0.3149 0.9443
Ru 0.7407 0.0685 0.9082
Pb 0.3953 0.5680 0.5991
Pb 0.5682 0.8153 0.2533
Y 0.8414 0.7999 0.7066
Y 0.1221 0.5835 0.1458
Y 0.3741 0.0764 0.6414
Y 0.1007 0.0281 0.1883
Y 0.8627 0.3552 0.6641
Y 0.5892 0.3069 0.2110

Results
The value obtained for the density of states at the Fermi level is 0.5522 states/eV per atom.

Most stable: 2. Least stable: 1.

## 1
Entry from the Alexandria database: an optimized crystal structure of Y3RuPb (PBE).

Cell: 6.1316 8.2080 6.1316 Å, 90.00 62.51 90.00°
Fractional coordinates of all 10 atoms:
Y 0.1264 0.0209 0.7853
Y 0.9575 0.4812 0.6163
Y 0.4574 0.9022 0.1163
Y 0.6265 0.3624 0.2852
Y 0.7885 0.0208 0.4473
Y 0.2885 0.3625 0.9473
Ru 0.7076 0.1917 0.8662
Ru 0.2075 0.1917 0.3662
Pb 0.4573 0.6917 0.6160
Pb 0.9577 0.6917 0.1164

Results
The value obtained for the density of states at the Fermi level is 0.5054 states/eV per atom.

## 2
Entry from the Alexandria database: an optimized crystal structure of Y3RuPb (PBE).

Cell: 13.3543 6.3007 6.3007 Å, 137.97 127.61 52.39°
Fractional coordinates of all 10 atoms:
Y 0.3664 0.6725 0.3275
Y 0.1132 0.2853 0.7147
Y 0.6336 0.3275 0.6725
Y 0.8868 0.7147 0.2853
Y 0.6654 0.5916 0.4084
Y 0.3346 0.4084 0.5916
Pb 0.1135 0.0147 0.9853
Pb 0.8865 0.9853 0.0147
Ru 0.5955 0.9984 0.0016
Ru 0.4045 0.0016 0.9984

Results
The value obtained for the density of states at the Fermi level is 0.7463 states/eV per atom.

## 3
Entry from the Alexandria database: an optimized crystal structure of Y3RuPb (PBE).

Cell: 9.5087 7.9759 3.6334 Å, 90.00 90.00 90.00°
Fractional coordinates of all 10 atoms:
Y 0.2168 0.6548 0.4975
Y 0.8509 0.6728 0.9975
Y 0.3508 0.1746 0.4975
Y 0.5092 0.8296 0.9974
Y 0.0092 0.0178 0.4975
Y 0.7168 0.1925 0.9974
Ru 0.2331 0.9324 0.9975
Ru 0.7331 0.9149 0.4975
Pb 0.5691 0.4956 0.4975
Pb 0.0691 0.3518 0.9976

Results
The value obtained for the density of states at the Fermi level is 0.5850 states/eV per atom.

## 4
Entry from the Alexandria database: an optimized crystal structure of Y3RuPb (PBE).

Cell: 5.3156 5.3156 5.3156 Å, 90.00 90.00 90.00°
Fractional coordinates of all 5 atoms:
Pb 0.5000 0.5000 0.5000
Y 0.0000 0.0000 0.5000
Y 0.0000 0.5000 0.0000
Y 0.5000 0.0000 0.0000
Ru 0.0000 0.0000 0.0000

Results
The value obtained for the density of states at the Fermi level is 0.7216 states/eV per atom.

Most stable: 1. Least stable: 4.

## 1
Entry from the Alexandria database: an optimized crystal structure of Y4RuPb (PBE).

Cell: 6.1004 6.1004 6.1004 Å, 60.00 60.00 60.00°
Site moments in Bohr magnetons follow the coordinates.
Fractional coordinates of all 6 atoms:
Ru 0.0000 0.0000 0.0000  0.26
Y 0.3738 0.3738 0.8786  0.02
Y 0.3738 0.8786 0.3738  0.02
Y 0.3738 0.3738 0.3738  0.02
Y 0.8786 0.3738 0.3738  0.02
Pb 0.7500 0.7500 0.7500  0.00

Results
The value obtained for the density of states at the Fermi level is 1.4223 states/eV per atom.

## 2
Entry from the Alexandria database: an optimized crystal structure of Y4RuPb (PBE).

Cell: 6.1838 8.5544 8.1240 Å, 114.68 103.29 106.63°
Fractional coordinates of all 12 atoms:
Y 0.7890 0.7212 0.6634
Y 0.6875 0.3486 0.1405
Y 0.0470 0.2082 0.8595
Y 0.3744 0.9422 0.6634
Y 0.2110 0.2788 0.3366
Y 0.9530 0.7918 0.1405
Y 0.3125 0.6514 0.8595
Y 0.6256 0.0578 0.3366
Pb 0.6203 0.3703 0.7406
Pb 0.3797 0.6297 0.2594
Ru 0.2502 0.0002 0.0004
Ru 0.7498 0.9998 0.9996

Results
The value obtained for the density of states at the Fermi level is 0.9586 states/eV per atom.

Most stable: 2. Least stable: 1.

## 1
Entry from the Alexandria database: an optimized crystal structure of ZnRuPb3 (PBE).

Cell: 5.2768 5.2768 5.2768 Å, 90.00 90.00 90.00°
Fractional coordinates of all 5 atoms:
Pb 0.0000 0.5000 0.0000
Pb 0.0000 0.0000 0.5000
Pb 0.5000 0.0000 0.0000
Ru 0.0000 0.0000 0.0000
Zn 0.5000 0.5000 0.5000

Results
The value obtained for the density of states at the Fermi level is 0.8879 states/eV per atom.

## 2
Entry from the Alexandria database: an optimized crystal structure of ZnRuPb3 (PBE).

Cell: 5.2684 5.2684 5.2684 Å, 90.00 90.00 90.00°
Site moments in Bohr magnetons follow the coordinates.
Fractional coordinates of all 5 atoms:
Pb 0.0000 0.0000 0.5000  -0.04
Pb 0.0000 0.5000 0.0000  -0.04
Pb 0.5000 0.0000 0.0000  -0.02
Ru 0.5000 0.5000 0.5000  2.00
Zn 0.0000 0.0000 0.0000  -0.01

Results
The value obtained for the density of states at the Fermi level is 0.9108 states/eV per atom.

Most stable: 1. Least stable: 2.